# LaNiPd3

A relaxed LaNiPd3 crystal (GGA-PBE, the Alexandria database).

Distance to the lowest polymorph of the same formula in eV per formula unit: 5.778
Space group: Pm-3m, No. 221

a = 5.095 Å, b = 5.095 Å, c = 5.095 Å
α = 90.00°, β = 90.00°, γ = 90.00°
Fractional positions:
Pd 0.000 0.000 0.500
Pd 0.500 0.000 0.000
Pd 0.000 0.500 0.000
La 0.000 0.000 0.000
Ni 0.500 0.500 0.500